(1)
# PmIn2Cu2 GGA-PBE optimized geometry
data_PmIn2Cu2
_symmetry_space_group_name_H-M 'C 1 2/m 1'
_symmetry_Int_Tables_number 12
_cell_length_a 10.857
_cell_length_b 4.101
_cell_length_c 5.009
_cell_angle_alpha 90.00
_cell_angle_beta 106.57
_cell_angle_gamma 90.00
loop_
_symmetry_equiv_pos_as_xyz
'x,y,z'
'-x,-y,-z'
'-x,y,-z'
'x,-y,z'
'x+1/2,y+1/2,z'
'-x+1/2,-y+1/2,-z'
'-x+1/2,y+1/2,-z'
'x+1/2,-y+1/2,z'
loop_
_atom_site_label
_atom_site_fract_x
_atom_site_fract_y
_atom_site_fract_z
Pm1 0.000 0.000 0.000
In1 0.142 0.500 0.566
Cu1 0.227 0.500 0.122
# energy of formation: -129 kJ/mol of formula units
# calculated total energy: -3.951 eV per atom
# density of states at the Fermi level: 0.61 states/eV/atom
# E above lowest polymorph: 0 meV/atom



(2)
# Ce2HfTl3S6 GGA-PBE optimized geometry
data_Ce2HfTl3S6
_symmetry_space_group_name_H-M 'C 1 2/m 1'
_symmetry_Int_Tables_number 12
_cell_length_a 6.964
_cell_length_b 12.044
_cell_length_c 8.015
_cell_angle_alpha 90.00
_cell_angle_beta 107.05
_cell_angle_gamma 90.00
loop_
_symmetry_equiv_pos_as_xyz
'x,y,z'
'-x,-y,-z'
'-x,y,-z'
'x,-y,z'
'x+1/2,y+1/2,z'
'-x+1/2,-y+1/2,-z'
'-x+1/2,y+1/2,-z'
'x+1/2,-y+1/2,z'
loop_
_atom_site_label
_atom_site_fract_x
_atom_site_fract_y
_atom_site_fract_z
Ce1 0.000 0.166 0.000
Hf1 0.000 0.500 0.000
Tl1 0.000 0.000 0.500
Tl2 0.000 0.332 0.500
S1 0.218 0.347 0.192
S2 0.239 0.500 0.804
# calculated total energy: -5.757 eV per atom
# density of states at the Fermi level: 1.31 states/eV/atom



(3)
# PuTlHg4 GGA-PBE optimized geometry
data_PuTlHg4
_symmetry_space_group_name_H-M 'P 1 21/m 1'
_symmetry_Int_Tables_number 11
_cell_length_a 6.692
_cell_length_b 5.163
_cell_length_c 9.577
_cell_angle_alpha 90.00
_cell_angle_beta 109.76
_cell_angle_gamma 90.00
loop_
_symmetry_equiv_pos_as_xyz
'x,y,z'
'-x,-y,-z'
'-x,y+1/2,-z'
'x,-y+1/2,z'
loop_
_atom_site_label
_atom_site_fract_x
_atom_site_fract_y
_atom_site_fract_z
Pu1 0.127 0.250 0.254
Tl1 0.378 0.750 0.757
Hg1 0.039 0.250 0.584
Hg2 0.189 0.250 0.917
Hg3 0.279 0.750 0.085
Hg4 0.446 0.750 0.418
# energy of formation: -46 kJ/mol of formula units
# calculated total energy: -3.064 eV per atom
# density of states at the Fermi level: 2.56 states/eV/atom
# E above lowest polymorph: 0 meV/atom



(4)
# IrPbS2 GGA-PBE optimized geometry
data_IrPbS2
_symmetry_space_group_name_H-M 'R 3 m'
_symmetry_Int_Tables_number 160
_symmetry_space_group_name_Hall 'R 3 -2"'
_cell_length_a 3.6132
_cell_length_b 3.6132
_cell_length_c 22.3541
_cell_angle_alpha 90.00
_cell_angle_beta 90.00
_cell_angle_gamma 120.00
loop_
_atom_site_label
_atom_site_fract_x
_atom_site_fract_y
_atom_site_fract_z
Ir1 0.0000 0.0000 0.0000
Pb1 0.0000 0.0000 0.1627
S1 0.0000 0.0000 0.3847
S2 0.0000 0.0000 0.6127
# calculated total energy: -5.482 eV per atom
# density of states at the Fermi level: 0.27 states/eV/atom



(5)
# Pr5YS6 GGA-PBE optimized geometry
data_Pr5YS6
_symmetry_space_group_name_H-M 'C 1 2/m 1'
_symmetry_Int_Tables_number 12
_cell_length_a 7.057
_cell_length_b 12.247
_cell_length_c 7.054
_cell_angle_alpha 90.00
_cell_angle_beta 109.65
_cell_angle_gamma 90.00
loop_
_symmetry_equiv_pos_as_xyz
'x,y,z'
'-x,-y,-z'
'-x,y,-z'
'x,-y,z'
'x+1/2,y+1/2,z'
'-x+1/2,-y+1/2,-z'
'-x+1/2,y+1/2,-z'
'x+1/2,-y+1/2,z'
loop_
_atom_site_label
_atom_site_fract_x
_atom_site_fract_y
_atom_site_fract_z
Pr1 0.000 0.000 0.000
Pr2 0.000 0.167 0.500
Pr3 0.000 0.329 0.000
Y1 0.000 0.500 0.500
S1 0.241 0.500 0.254
S2 0.243 0.339 0.743
# calculated total energy: -6.612 eV per atom
# density of states at the Fermi level: 0.39 states/eV/atom



(6)
# SmTmAgPd GGA-PBE optimized geometry
data_SmTmAgPd
_symmetry_space_group_name_H-M 'F -4 3 m'
_symmetry_Int_Tables_number 216
_symmetry_space_group_name_Hall 'F -4 2 3'
_cell_length_a 7.171
_cell_length_b 7.171
_cell_length_c 7.171
_cell_angle_alpha 90.00
_cell_angle_beta 90.00
_cell_angle_gamma 90.00
loop_
_atom_site_label
_atom_site_fract_x
_atom_site_fract_y
_atom_site_fract_z
Sm1 0.000 0.000 0.000
Tm1 0.000 0.000 0.500
Ag1 0.250 0.250 0.250
Pd1 0.250 0.250 0.750
# energy of formation: -221 kJ/mol of formula units
# calculated total energy: -4.880 eV per atom
# density of states at the Fermi level: 0.76 states/eV/atom
# E above lowest polymorph: 12 meV/atom



(7)
# HgBi4Pb5 GGA-PBE optimized geometry
data_HgBi4Pb5
_symmetry_space_group_name_H-M 'I 4'
_symmetry_Int_Tables_number 79
_cell_length_a 10.066
_cell_length_b 10.066
_cell_length_c 6.573
_cell_angle_alpha 90.00
_cell_angle_beta 90.00
_cell_angle_gamma 90.00
loop_
_symmetry_equiv_pos_as_xyz
'x,y,z'
'-y,x,z'
'-x,-y,z'
'y,-x,z'
'x+1/2,y+1/2,z+1/2'
'-y+1/2,x+1/2,z+1/2'
'-x+1/2,-y+1/2,z+1/2'
'y+1/2,-x+1/2,z+1/2'
loop_
_atom_site_label
_atom_site_fract_x
_atom_site_fract_y
_atom_site_fract_z
Hg1 0.000 0.000 0.000
Bi1 0.105 0.740 0.272
Pb1 0.000 0.000 0.533
Pb2 0.077 0.676 0.776
# energy of formation: 52 kJ/mol of formula units
# calculated total energy: -3.383 eV per atom
# density of states at the Fermi level: 0.47 states/eV/atom
# E above lowest polymorph: 11 meV/atom



(8)
# ZnTcO3 GGA-PBE optimized geometry
data_ZnTcO3
_symmetry_space_group_name_H-M 'P m -3 m'
_symmetry_Int_Tables_number 221
_symmetry_space_group_name_Hall '-P 4 2 3'
_cell_length_a 3.790
_cell_length_b 3.790
_cell_length_c 3.790
_cell_angle_alpha 90.00
_cell_angle_beta 90.00
_cell_angle_gamma 90.00
loop_
_atom_site_label
_atom_site_fract_x
_atom_site_fract_y
_atom_site_fract_z
Zn1 0.000 0.000 0.000
Tc1 0.500 0.500 0.500
O1 0.000 0.000 0.500
# calculated total energy: -5.238 eV per atom
# density of states at the Fermi level: 1.01 states/eV/atom